(1)
Entry from Alexandria via LeMat-Bulk: crystalline Ti2VMo2 at its relaxed geometry (GGA-PBE).

Cell: 6.636 6.636 6.579 Å, 112.67 112.67 38.66°
Element x y z (fractional)
Ti (0.171, 0.171, 0.419)
Ti (0.281, 0.281, 0.875)
Ti (0.719, 0.719, 0.125)
Ti (0.829, 0.829, 0.581)
V (0.370, 0.370, 0.328)
V (0.630, 0.630, 0.672)
Mo (0.084, 0.084, 0.924)
Mo (0.460, 0.460, 0.771)
Mo (0.540, 0.540, 0.229)
Mo (0.916, 0.916, 0.076)

Computed properties:
DFT formation energy: 0.17 eV/atom
crystal system: monoclinic
relative energy among the computed polymorphs: 261 meV/atom

(2)
Entry from Alexandria via LeMat-Bulk: crystalline Ti3VMo2 at its relaxed geometry (GGA-PBE).

Cell: 7.158 7.158 6.685 Å, 99.82 99.82 36.15°
Element x y z (fractional)
Ti (0.064, 0.064, 0.336)
Ti (0.309, 0.309, 0.535)
Ti (0.389, 0.389, 0.939)
Ti (0.611, 0.611, 0.061)
Ti (0.691, 0.691, 0.465)
Ti (0.936, 0.936, 0.664)
V (0.161, 0.161, 0.774)
V (0.839, 0.839, 0.226)
Mo (0.230, 0.230, 0.152)
Mo (0.457, 0.457, 0.322)
Mo (0.543, 0.543, 0.678)
Mo (0.770, 0.770, 0.848)

Computed properties:
DFT formation energy: 0.10 eV/atom
crystal system: monoclinic

Number 1: total energy -9.140 eV/atom. Number 2: total energy -8.975 eV/atom.